{"formula": "NdGdIr2", "functional": "PBE", "state": "optimized geometry", "de_polymorph_ev_per_fu": 0.01, "ef_mev_per_atom": -627, "cell": [[4.858, 0.000, 0.000], [0.000, 4.858, 0.000], [0.000, 0.000, 3.644]], "species": ["Nd", "Gd", "Ir", "Ir"], "fractional_positions": [[0.000, 0.000, 0.000], [0.500, 0.500, 0.000], [0.000, 0.500, 0.500], [0.500, 0.000, 0.500]]}



{"formula": "Ho3TmBi2", "functional": "PBE", "state": "optimized geometry", "de_polymorph_ev_per_fu": 0.00, "ef_mev_per_atom": -570, "cell": [[4.527, 0.000, 0.000], [0.000, 4.527, 0.000], [0.000, 0.000, 8.546]], "species": ["Ho", "Ho", "Ho", "Tm", "Bi", "Bi"], "fractional_positions": [[0.000, 0.000, 0.000], [0.000, 0.500, 0.656], [0.500, 0.000, 0.344], [0.500, 0.500, 0.000], [0.000, 0.500, 0.285], [0.500, 0.000, 0.715]]}



{"formula": "TaBrCl2", "functional": "PBE", "state": "optimized geometry", "de_polymorph_ev_per_fu": 4.90, "raw_formation_energy_ev_per_atom": 0.23, "cell": [[0.000, 3.385, 3.385], [3.385, 0.000, 3.385], [3.385, 3.385, 0.000]], "species": ["Ta", "Br", "Cl", "Cl"], "fractional_positions": [[0.000, 0.000, 0.000], [0.750, 0.750, 0.750], [0.250, 0.250, 0.250], [0.500, 0.500, 0.500]]}



{"formula": "Zr5Pt2", "functional": "PBE", "state": "optimized geometry", "ef_mev_per_atom": -553, "cell": [[7.945, -2.993, 0.000], [7.945, 2.993, 0.000], [-0.528, 0.000, 6.449]], "species": ["Zr", "Zr", "Zr", "Zr", "Zr", "Zr", "Zr", "Zr", "Zr", "Zr", "Pt", "Pt", "Pt", "Pt"], "fractional_positions": [[0.084, 0.364, 0.268], [0.113, 0.887, 0.750], [0.324, 0.491, 0.075], [0.364, 0.084, 0.768], [0.491, 0.324, 0.575], [0.509, 0.676, 0.425], [0.636, 0.916, 0.232], [0.676, 0.509, 0.925], [0.887, 0.113, 0.250], [0.916, 0.636, 0.732], [0.045, 0.729, 0.416], [0.271, 0.955, 0.084], [0.729, 0.045, 0.916], [0.955, 0.271, 0.584]]}



{"formula": "La3Tb4Dy4", "functional": "PBE", "state": "optimized geometry", "de_polymorph_ev_per_fu": 0.15, "ef_mev_per_atom": 156, "cell": [[10.699, 0.000, 0.000], [0.000, 2.884, 6.079], [0.000, -2.884, 6.079]], "species": ["La", "La", "La", "Tb", "Tb", "Tb", "Tb", "Dy", "Dy", "Dy", "Dy"], "fractional_positions": [[0.000, 0.000, 0.000], [0.291, 0.154, 0.154], [0.709, 0.154, 0.154], [0.000, 0.701, 0.701], [0.216, 0.495, 0.495], [0.500, 0.634, 0.634], [0.784, 0.495, 0.495], [0.000, 0.302, 0.302], [0.299, 0.851, 0.851], [0.500, 0.363, 0.363], [0.701, 0.851, 0.851]]}



{"formula": "Na8SiTe6", "functional": "PBE", "state": "optimized geometry", "raw_formation_energy_ev_per_atom": -0.73, "cell": [[8.842, 0.000, 0.000], [0.000, 9.163, 0.000], [0.000, 0.000, 12.566]], "species": ["Na", "Na", "Na", "Na", "Na", "Na", "Na", "Na", "Na", "Na", "Na", "Na", "Na", "Na", "Na", "Na", "Si", "Si", "Te", "Te", "Te", "Te", "Te", "Te", "Te", "Te", "Te", "Te", "Te", "Te"], "fractional_positions": [[0.000, 0.125, 0.000], [0.000, 0.240, 0.449], [0.176, 0.611, 0.115], [0.196, 0.578, 0.811], [0.237, 0.934, 0.762], [0.263, 0.066, 0.262], [0.304, 0.422, 0.311], [0.324, 0.389, 0.615], [0.500, 0.760, 0.949], [0.500, 0.875, 0.500], [0.676, 0.389, 0.615], [0.696, 0.422, 0.311], [0.737, 0.066, 0.262], [0.763, 0.934, 0.762], [0.804, 0.578, 0.811], [0.824, 0.611, 0.115], [0.000, 0.746, 0.464], [0.500, 0.254, 0.964], [0.000, 0.301, 0.212], [0.000, 0.520, 0.587], [0.000, 0.784, 0.943], [0.000, 0.968, 0.581], [0.236, 0.747, 0.349], [0.264, 0.253, 0.849], [0.500, 0.032, 0.081], [0.500, 0.216, 0.443], [0.500, 0.480, 0.087], [0.500, 0.699, 0.712], [0.736, 0.253, 0.849], [0.764, 0.747, 0.349]]}



{"formula": "Tb5NdAg6", "functional": "PBE", "state": "optimized geometry", "ef_mev_per_atom": -304, "cell": [[5.211, 0.000, 0.000], [0.000, 7.275, 0.000], [-2.572, 0.000, 7.829]], "species": ["Tb", "Tb", "Tb", "Tb", "Tb", "Nd", "Ag", "Ag", "Ag", "Ag", "Ag", "Ag"], "fractional_positions": [[0.000, 0.000, 0.000], [0.332, 0.500, 0.665], [0.334, 0.000, 0.668], [0.666, 0.000, 0.332], [0.668, 0.500, 0.335], [0.000, 0.500, 0.000], [0.169, 0.246, 0.339], [0.169, 0.754, 0.339], [0.500, 0.242, 0.000], [0.500, 0.758, 0.000], [0.831, 0.246, 0.661], [0.831, 0.754, 0.661]]}



{"formula": "TbYCdGa", "functional": "PBE", "state": "optimized geometry", "de_polymorph_ev_per_fu": 0.00, "ef_mev_per_atom": -474, "cell": [[3.638, 0.000, 0.000], [0.000, 3.638, 0.000], [0.000, 0.000, 7.462]], "species": ["Tb", "Y", "Cd", "Ga"], "fractional_positions": [[0.000, 0.000, 0.000], [0.000, 0.000, 0.530], [0.500, 0.500, 0.267], [0.500, 0.500, 0.764]]}



{"formula": "Zn2SbIr", "functional": "PBE", "state": "optimized geometry", "de_polymorph_ev_per_fu": 0.00, "raw_formation_energy_ev_per_atom": -0.02, "cell": [[4.215, -1.556, 0.000], [4.215, 1.556, 0.000], [-0.821, 0.000, 6.114]], "species": ["Zn", "Zn", "Sb", "Ir"], "fractional_positions": [[0.000, 0.000, 0.000], [0.705, 0.705, 0.830], [0.615, 0.615, 0.401], [0.300, 0.300, 0.166]]}



{"formula": "BaN3F", "functional": "PBE", "state": "optimized geometry", "raw_formation_energy_ev_per_atom": 2.02, "cell": [[5.106, 0.000, 0.000], [0.000, 5.106, 0.000], [0.000, 0.000, 5.106]], "species": ["Ba", "N", "N", "N", "F"], "fractional_positions": [[0.000, 0.000, 0.000], [0.000, 0.000, 0.500], [0.000, 0.500, 0.000], [0.500, 0.000, 0.000], [0.500, 0.500, 0.500]]}



{"formula": "PmDyBiAu", "functional": "PBE", "state": "optimized geometry", "ef_mev_per_atom": -658, "cell": [[0.000, 3.780, 3.780], [3.780, 0.000, 3.780], [3.780, 3.780, 0.000]], "species": ["Pm", "Dy", "Bi", "Au"], "fractional_positions": [[0.000, 0.000, 0.000], [0.500, 0.500, 0.500], [0.750, 0.750, 0.750], [0.250, 0.250, 0.250]]}



{"formula": "NiBi2B", "functional": "PBE", "state": "optimized geometry", "ef_mev_per_atom": 659, "cell": [[-2.938, 2.938, 5.432], [2.938, -2.938, 5.432], [2.938, 2.938, -5.432]], "species": ["Ni", "Ni", "Bi", "Bi", "Bi", "Bi", "B", "B"], "fractional_positions": [[0.000, 0.000, 0.000], [0.750, 0.250, 0.500], [0.149, 0.625, 0.024], [0.375, 0.399, 0.524], [0.601, 0.125, 0.976], [0.875, 0.851, 0.476], [0.250, 0.750, 0.500], [0.500, 0.500, 0.000]]}



What are the total magnetic moment values for these records? In order: 1.7498; 0.0000; 0.4986; 0.0000; 0.0000; 0.0000; 0.0000; 0.0000; 0.0000; 1.6000; 0.1377; 0.0000 μB/atom.